# 1
## CaBPd3 (PBE-GGA)

Data for a relaxed structure of CaBPd3.

Lattice parameters (Å, degrees): 10.8645 10.8645 10.8645 154.93 154.93 35.75
Closest atoms and distances in Å follow each position.
Sites, in units of the cell vectors:
Ca  0.0000  0.0000  0.0000  4 Pd 2.83
Ca  0.7500  0.2500  0.5000  4 Pd 2.85
B  0.1245  0.6245  0.5000  6 Pd 2.36-2.63
B  0.3755  0.8755  0.5000  6 Pd 2.36-2.63
Pd  0.3711  0.1249  0.2462  2 Pd 2.32-2.39
Pd  0.3749  0.3749  0.0000  2 B 2.36
Pd  0.6251  0.6251  0.0000  2 B 2.36
Pd  0.8751  0.1213  0.2462  2 Pd 2.32-2.39
Pd  0.8751  0.6289  0.7538  2 Pd 2.32-2.39
Pd  0.8787  0.1249  0.7538  2 Pd 2.32-2.39

Summary:
space-group type: No. 119
formation enthalpy at 0 K: 1.58 eV/f.u.
VASP energy: -0.1667 Ha/atom


# 2
## Rb2Hg2O3 (PBE-GGA)

Data for a relaxed structure of Rb2Hg2O3.

Lattice parameters (Å, degrees): 6.6910 6.6910 6.5440 106.37 106.37 33.81
Closest atoms and distances in Å follow each position.
Sites, in units of the cell vectors:
Rb  0.1188  0.1188  0.3023  5 O 2.87-3.16
Rb  0.8812  0.8812  0.6977  5 O 2.87-3.16
Hg  0.3589  0.3589  0.1361  3 O 2.24-2.25
Hg  0.6411  0.6411  0.8639  3 O 2.24-2.25
O  0.2006  0.2006  0.7668  2 Hg 2.25
O  0.5000  0.5000  0.0000  2 Hg 2.24
O  0.7994  0.7994  0.2332  2 Hg 2.25

Summary:
space-group type: No. 12
VASP energy: -0.1170 Ha/atom
formation energy from raw total energies: -0.695 eV/atom


# 3
## Sm8PdAu2 (PBE-GGA)

Data for a relaxed structure of Sm8PdAu2.

Lattice parameters (Å, degrees): 9.3567 9.3567 6.9659 100.78 100.78 31.93
Closest atoms and distances in Å follow each position.
Sites, in units of the cell vectors:
Sm  0.0280  0.0280  0.2746  1 Au 2.99, 2 Pd 3.11
Sm  0.2024  0.2024  0.8299  1 Au 2.92
Sm  0.3383  0.3383  0.5283  1 Pd 2.95, 3 Au 2.98-3.13
Sm  0.4113  0.4113  0.0499  1 Pd 3.23, 6 Sm 3.40-3.62, 2 Au 3.57
Sm  0.5887  0.5887  0.9501  1 Pd 3.23, 6 Sm 3.40-3.62, 2 Au 3.57
Sm  0.6617  0.6617  0.4717  1 Pd 2.95, 3 Au 2.98-3.13
Sm  0.7976  0.7976  0.1701  1 Au 2.92
Sm  0.9720  0.9720  0.7254  1 Au 2.99, 2 Pd 3.11
Pd  0.5000  0.5000  0.5000  8 Sm 2.95-3.23
Au  0.1915  0.1915  0.2434  5 Sm 2.92-3.13
Au  0.8085  0.8085  0.7566  5 Sm 2.92-3.13

Summary:
excess energy over the best structure of this formula in the dataset: 0.0 meV per atom
space-group type: No. 12
formation enthalpy at 0 K: -4.68 eV/f.u.
VASP energy: -0.1810 Ha/atom


# 4
## CaTcC3 (PBE-GGA)

Data for a relaxed structure of CaTcC3.

Lattice parameters (Å, degrees): 4.0801 4.0801 4.0801 90.00 90.00 90.00
Closest atoms and distances in Å follow each position.
Sites, in units of the cell vectors:
Ca  0.0000  0.0000  0.0000  6 C 2.04
Tc  0.5000  0.5000  0.5000  12 C 2.89
C  0.0000  0.0000  0.5000  2 Ca 2.04
C  0.0000  0.5000  0.0000  2 Ca 2.04
C  0.5000  0.0000  0.0000  2 Ca 2.04

Summary:
excess energy over the best structure of this formula in the dataset: 2596.1 meV per atom
space-group type: No. 221
formation enthalpy at 0 K: 18.21 eV/f.u.
VASP energy: -0.1604 Ha/atom


Copy entry 2 word for word.
## Rb2Hg2O3 (PBE-GGA)

Data for a relaxed structure of Rb2Hg2O3.

Lattice parameters (Å, degrees): 6.6910 6.6910 6.5440 106.37 106.37 33.81
Closest atoms and distances in Å follow each position.
Sites, in units of the cell vectors:
Rb  0.1188  0.1188  0.3023  5 O 2.87-3.16
Rb  0.8812  0.8812  0.6977  5 O 2.87-3.16
Hg  0.3589  0.3589  0.1361  3 O 2.24-2.25
Hg  0.6411  0.6411  0.8639  3 O 2.24-2.25
O  0.2006  0.2006  0.7668  2 Hg 2.25
O  0.5000  0.5000  0.0000  2 Hg 2.24
O  0.7994  0.7994  0.2332  2 Hg 2.25

Summary:
space-group type: No. 12
VASP energy: -0.1170 Ha/atom
formation energy from raw total energies: -0.695 eV/atom


- VASP energy of number 3 (Sm8PdAu2)?
  -0.1810 Ha/atom


- Which value of VASP energy does entry 1 give?
  -0.1667 Ha/atom


- What is the formula in the third record?
  Sm8PdAu2